1.
Compound: InBrN2F
Source: the Alexandria database
Functional: GGA-PBE
Structure: optimized geometry

```
5
Lattice="4.499 0.000 0.000 0.000 4.499 0.000 0.000 0.000 4.226" Properties=species:S:1:pos:R:3 pbc="T T T"
N 2.249 0.000 0.000
N 0.000 2.249 0.000
In 0.000 0.000 0.000
F 0.000 0.000 2.113
Br 2.249 2.249 2.113
```

Values from the calculation:
Density of states at the Fermi level ... 0.74 states/eV per atom
Energy relative to the elements, uncorrected ... 0.862 eV/atom
Symmetry ... No. 123
Offset from the most stable computed form ... 0.0 meV/atom

2.
Compound: Li3MgH
Source: the Alexandria database
Functional: GGA-PBE
Structure: optimized geometry

```
5
Lattice="4.215 0.000 0.000 0.000 4.215 0.000 0.000 0.000 4.215" Properties=species:S:1:pos:R:3 pbc="T T T"
Li 0.000 2.107 0.000
Li 2.107 0.000 0.000
Li 0.000 0.000 2.107
H 0.000 0.000 0.000
Mg 2.107 2.107 2.107
```

Values from the calculation:
Density of states at the Fermi level ... 0.32 states/eV per atom
Symmetry ... No. 221
Offset from the most stable computed form ... 0.0 meV/atom

3.
Compound: P2HI8
Source: the Alexandria database
Functional: GGA-PBE
Structure: optimized geometry

```
11
Lattice="-6.753 1.784 -1.298 -2.919 -7.594 -5.100 -4.546 -5.167 6.697" Properties=species:S:1:pos:R:3 pbc="T T T"
I -5.761 0.230 -0.842
H 0.000 0.000 0.000
P -4.511 -2.194 -0.171
I -11.398 -8.016 2.135
I -7.967 -6.996 0.341
P -9.707 -8.784 0.469
I -10.863 -8.814 -1.742
I -2.820 -2.962 -1.837
I -3.355 -2.164 2.040
I -6.251 -3.981 -0.043
I -8.457 -11.208 1.140
```

Values from the calculation:
Density of states at the Fermi level ... 0.29 states/eV per atom
Symmetry ... No. 12
Uncorrected energy ... -26.32 eV for the cell shown

4.
Compound: Nb2BiPPb
Source: the Alexandria database
Functional: GGA-PBE
Structure: optimized geometry

```
5
Lattice="5.361 0.000 0.000 0.000 5.858 0.000 0.000 0.000 5.361" Properties=species:S:1:pos:R:3 pbc="T T T"
Nb 0.000 0.000 2.681
Pb 0.000 2.929 0.000
Nb 2.681 0.000 0.000
Bi 0.000 0.000 0.000
P 2.681 2.929 2.681
```

Values from the calculation:
Density of states at the Fermi level ... 1.14 states/eV per atom
Symmetry ... No. 123
Offset from the most stable computed form ... 1401.6 meV/atom
Energy of formation from the pure elements ... 1909.7 meV/atom

5.
Compound: Y2ZrW
Source: the Alexandria database
Functional: GGA-PBE
Structure: optimized geometry

```
4
Lattice="10.359 -0.003 -0.002 9.804 3.347 -0.002 9.804 1.625 2.925" Properties=species:S:1:pos:R:3 pbc="T T T"
W 22.647 3.755 2.208
Zr 14.557 2.414 1.419
Y 0.427 0.071 0.042
Y 7.320 1.214 0.714
```

Values from the calculation:
Density of states at the Fermi level ... 1.15 states/eV per atom
Symmetry ... No. 160
Offset from the most stable computed form ... 190.6 meV/atom
Energy of formation from the pure elements ... 420.4 meV/atom

6.
Compound: ZrCr2Os
Source: the Alexandria database
Functional: GGA-PBE
Structure: optimized geometry

```
4
Lattice="-2.047 -1.932 0.384 2.440 -2.089 2.501 -1.885 2.833 4.205" Properties=species:S:1:pos:R:3 pbc="T T T"
Zr -1.217 0.114 4.596
Os -0.275 -1.302 2.493
Cr -0.827 1.243 1.845
Cr -0.115 0.173 0.257
```

Values from the calculation:
Density of states at the Fermi level ... 1.33 states/eV per atom
Symmetry ... No. 47
Offset from the most stable computed form ... 235.7 meV/atom
Energy of formation from the pure elements ... 290.6 meV/atom

Repeat the second record exactly.
Compound: Li3MgH
Source: the Alexandria database
Functional: GGA-PBE
Structure: optimized geometry

```
5
Lattice="4.215 0.000 0.000 0.000 4.215 0.000 0.000 0.000 4.215" Properties=species:S:1:pos:R:3 pbc="T T T"
Li 0.000 2.107 0.000
Li 2.107 0.000 0.000
Li 0.000 0.000 2.107
H 0.000 0.000 0.000
Mg 2.107 2.107 2.107
```

Values from the calculation:
Density of states at the Fermi level ... 0.32 states/eV per atom
Symmetry ... No. 221
Offset from the most stable computed form ... 0.0 meV/atom